Li2TiFe2O5: optimized geometry, PBE with a Hubbard U.

Unit cell a=5.3213 b=5.3480 c=7.8556 alpha=82.21 beta=70.39 gamma=66.91
Fractional positions:
Li: 0.3065 0.5187 0.4033
Li: 0.6965 0.4943 0.6039
Li: 0.6222 0.0349 0.7986
Li: 0.0114 0.0014 0.9941
Ti: 0.0766 0.5087 0.7941
Ti: 0.7867 0.0077 0.3977
Fe: 0.2131 0.9954 0.6070
Fe: 0.4069 0.9928 0.1880
Fe: 0.9078 0.4914 0.2041
Fe: 0.4892 0.5054 0.0011
O: 0.6441 0.2445 0.2139
O: 0.5869 0.7591 0.3981
O: 0.8717 0.2743 0.8007
O: 0.0382 0.1995 0.4034
O: 0.1257 0.7629 0.2175
O: 0.7532 0.7444 0.9856
O: 0.9502 0.7431 0.6048
O: 0.2392 0.2651 0.9886
O: 0.4572 0.2434 0.5955
O: 0.3166 0.7133 0.8000

Volume = 9.69 A^3/atom
Uncorrected energy = -6.88 eV per atom
Space-group type = No. 1
Total magnetic moment = 4.01 μB per formula unit
Crystal system = triclinic